Entry 1:
## YP2Ir (PBEsol)

Data for YP2Ir after structural relaxation.

```
YP2Ir
1.0
-2.595 2.824 -0.090
-3.565 -0.630 1.269
-0.591 2.229 5.246
Ir P Y
1 2 1
Direct
0.000 0.000 0.000
0.729 0.729 0.812
0.271 0.271 0.188
0.500 0.500 0.500
```

relative energy among the computed polymorphs = 0 meV per atom
final energy = -0.299 Ha/atom
space group = R-3m (166)
magnetization = 0.00 μB per formula unit

Entry 2:
## Y2PIr (PBEsol)

Data for Y2PIr after structural relaxation.

```
Y2PIr
1.0
-1.254 -0.586 -3.095
3.117 0.254 -1.311
0.925 -6.723 0.897
Ir P Y
1 1 2
Direct
0.500 0.500 0.000
0.500 0.500 0.500
0.000 0.000 0.745
0.000 0.000 0.255
```

final energy = -0.304 Ha/atom
space group = P4/mmm (123)
magnetization = 0.00 μB per formula unit

Entry 3:
## Zn3PIr (PBEsol)

Data for Zn3PIr after structural relaxation.

```
Zn3PIr
1.0
-3.675 -2.397 0.024
0.859 -1.276 4.110
-2.238 3.447 1.538
P Zn Ir
1 3 1
Direct
0.000 0.000 0.000
0.000 0.500 0.000
0.000 0.000 0.500
0.500 0.000 0.000
0.500 0.500 0.500
```

final energy = -0.118 Ha/atom
space group = Pm-3m (221)
magnetization = 0.00 μB per formula unit

Entry 4:
## ZnPIr2 (PBEsol)

Data for ZnPIr2 after structural relaxation.

```
ZnPIr2
1.0
2.890 0.000 0.000
0.000 4.349 0.013
-1.445 -1.163 4.282
Ir P Zn
2 1 1
Direct
0.995 0.912 0.990
0.762 0.318 0.523
0.492 0.461 0.984
0.252 0.809 0.504
```

relative energy among the computed polymorphs = 0 meV per atom
final energy = -0.253 Ha/atom
space group = Cm (8)
magnetization = 0.00 μB per formula unit

Entry 5:
## ZnP2Ir (PBEsol)

Data for ZnP2Ir after structural relaxation.

```
ZnP2Ir
1.0
-0.842 4.842 2.114
-4.545 0.429 -2.791
0.052 -4.826 4.303
P Zn Ir
4 2 2
Direct
0.356 0.875 0.250
0.894 0.375 0.250
0.125 0.106 0.750
0.625 0.644 0.750
0.750 0.250 0.500
0.500 0.500 0.000
0.250 0.750 0.500
0.000 0.000 0.000
```

final energy = -0.215 Ha/atom
space group = I-42d (122)
magnetization = 0.00 μB per formula unit

Entry 6:
## ZnPIr2 (PBEsol)

Data for ZnPIr2 after structural relaxation.

```
ZnPIr2
1.0
-3.086 1.255 -2.239
1.841 -3.781 -1.058
-2.011 -3.359 0.889
Ir P Zn
2 1 1
Direct
0.250 0.500 0.250
0.750 0.500 0.750
0.500 0.000 0.500
0.000 0.000 0.000
```

relative energy among the computed polymorphs = 62 meV per atom
final energy = -0.251 Ha/atom
space group = I4/mmm (139)
magnetization = 0.00 μB per formula unit

Entry 7:
## ZnPIr2 (PBEsol)

Data for ZnPIr2 after structural relaxation.

```
ZnPIr2
1.0
-2.160 -0.300 -1.899
1.322 -3.151 -1.006
-3.075 -2.535 3.899
Ir P Zn
2 1 1
Direct
0.500 0.000 0.245
0.500 0.000 0.755
0.500 0.500 0.500
0.000 0.500 0.000
```

relative energy among the computed polymorphs = 9 meV per atom
final energy = -0.253 Ha/atom
space group = Pmmm (47)
magnetization = 0.00 μB per formula unit

Entry 8:
## ZnP2Ir (PBEsol)

Data for ZnP2Ir after structural relaxation.

```
ZnP2Ir
1.0
3.736 0.000 0.000
0.000 4.822 0.095
-1.868 -0.301 4.441
Ir P Zn
1 2 1
Direct
0.697 0.375 0.394
0.185 0.090 0.370
0.194 0.659 0.389
0.424 0.376 0.847
```

final energy = -0.214 Ha/atom
space group = Cm (8)
magnetization = 0.00 μB per formula unit